(1)
A plane-wave DFT calculation with PBE was carried out for an optimized crystal structure of OsRhCl2.

Cell lengths 2.985, 4.139, 5.113 Å; angles 90.00, 94.24, 90.00 degrees
Space group P2/m (No. 10)
Inequivalent atoms, fractional coordinates:
Os 0.000 0.000 0.000 x1
Rh 0.500 0.000 0.500 x1
Cl 0.213 0.500 0.246 x2

Values from the calculation:
Polymorph energy (0 for the lowest one) (meV per atom): 685.7
Total magnetization (μB/cell): 0.00
E_form (uncorrected) (meV per atom): 809

(2)
A plane-wave DFT calculation with PBE was carried out for an optimized crystal structure of OsRhCl2.

Cell lengths 2.926, 3.402, 7.849 Å; angles 90.00, 90.30, 90.00 degrees
Space group Pm (No. 6)
Inequivalent atoms, fractional coordinates:
Os 0.000 0.000 0.000 x1
Rh 0.503 0.500 0.175 x1
Cl 0.507 0.000 0.391 x1
Cl 0.997 0.500 0.795 x1

Values from the calculation:
Polymorph energy (0 for the lowest one) (meV per atom): 0.0
Total magnetization (μB/cell): 0.00
E_form (uncorrected) (meV per atom): 124

(3)
A plane-wave DFT calculation with PBE was carried out for an optimized crystal structure of Os3RhCl.

Cell lengths 4.309, 4.309, 4.309 Å; angles 90.00, 90.00, 90.00 degrees
Space group Pm-3m (No. 221)
Inequivalent atoms, fractional coordinates:
Os 0.000 0.000 0.500 x3
Rh 0.500 0.500 0.500 x1
Cl 0.000 0.000 0.000 x1

Values from the calculation:
Polymorph energy (0 for the lowest one) (meV per atom): 0.0
Total magnetization (μB/cell): 0.00
E_form (uncorrected) (meV per atom): 1918

(4)
A plane-wave DFT calculation with PBE was carried out for an optimized crystal structure of Os4RhCl.

Cell lengths 7.333, 7.333, 7.333 Å; angles 90.00, 90.00, 90.00 degrees
Space group F-43m (No. 216)
Inequivalent atoms, fractional coordinates:
Os 0.125 0.125 0.125 x16
Rh 0.250 0.250 0.750 x4
Cl 0.000 0.000 0.500 x4

Values from the calculation:
Total magnetization (μB/cell): 2.53
E_form (uncorrected) (meV per atom): 1378

(5)
A plane-wave DFT calculation with PBE was carried out for an optimized crystal structure of OsRhCl2.

Cell lengths 12.074, 2.958, 4.748 Å; angles 90.00, 97.51, 90.00 degrees
Space group C2/m (No. 12)
Inequivalent atoms, fractional coordinates:
Os 0.000 0.000 0.000 x2
Rh 0.000 0.500 0.500 x2
Cl 0.141 0.500 0.210 x4

Values from the calculation:
Polymorph energy (0 for the lowest one) (meV per atom): 315.9
Total magnetization (μB/cell): 0.00
E_form (uncorrected) (meV per atom): 439

(6)
A plane-wave DFT calculation with PBE was carried out for an optimized crystal structure of OsRhCl2.

Cell lengths 2.959, 2.959, 8.386 Å; angles 90.00, 90.00, 90.00 degrees
Space group P4mm (No. 99)
Inequivalent atoms, fractional coordinates:
Os 0.000 0.000 0.000 x1
Rh 0.500 0.500 0.187 x1
Cl 0.000 0.000 0.391 x1
Cl 0.500 0.500 0.796 x1

Values from the calculation:
Polymorph energy (0 for the lowest one) (meV per atom): 180.9
Total magnetization (μB/cell): 0.00
E_form (uncorrected) (meV per atom): 304

Among the records above, which one has the highest E_form (uncorrected)?
Os3RhCl